# 1
Here is a relaxed structure of BaZnBi2 from the Alexandria database. Energies are from PBE.

Its crystal system is tetragonal. Its formation energy is -477 meV/atom.

Cell lengths 4.692, 4.692, 12.040 Å; angles 90.00, 90.00, 90.00 degrees
Element x y z (fractional)
Ba 0.250 0.250 0.243
Ba 0.750 0.750 0.757
Zn 0.250 0.750 0.500
Zn 0.750 0.250 0.500
Bi 0.250 0.250 0.641
Bi 0.250 0.750 0.000
Bi 0.750 0.250 0.000
Bi 0.750 0.750 0.359

***

# 2
Here is a relaxed structure of BaZn2Bi2 from the Alexandria database. Energies are from PBE.

Its crystal system is tetragonal. Its formation energy is -81 meV/atom.

Cell lengths 8.895, 8.895, 3.703 Å; angles 90.00, 90.00, 90.00 degrees
Element x y z (fractional)
Ba 0.000 0.000 0.000
Ba 0.500 0.500 0.000
Zn 0.154 0.346 0.500
Zn 0.346 0.846 0.500
Zn 0.654 0.154 0.500
Zn 0.846 0.654 0.500
Bi 0.136 0.636 0.000
Bi 0.364 0.136 0.000
Bi 0.636 0.864 0.000
Bi 0.864 0.364 0.000

***

# 3
Here is a relaxed structure of BaZrZn2Bi from the Alexandria database. Energies are from PBE.

Its crystal system is tetragonal. Its formation energy is 914 meV/atom.

Cell lengths 5.455, 5.455, 6.552 Å; angles 90.00, 90.00, 90.00 degrees
Element x y z (fractional)
Ba 0.000 0.000 0.000
Zr 0.500 0.500 0.000
Zn 0.000 0.500 0.500
Zn 0.500 0.000 0.500
Bi 0.000 0.000 0.500

***

# 4
Here is a relaxed structure of BaZrBi2 from the Alexandria database. Energies are from PBE.

The calculation puts the energy above the lowest structure with this stoichiometry at 24.1 kJ per mole of atoms. Its crystal system is tetragonal. Its formation energy is -316 meV/atom.

Cell lengths 8.597, 8.597, 8.037 Å; angles 90.00, 90.00, 90.00 degrees
Element x y z (fractional)
Ba 0.000 0.000 0.000
Ba 0.000 0.500 0.250
Ba 0.500 0.000 0.750
Ba 0.500 0.500 0.500
Zr 0.000 0.000 0.500
Zr 0.000 0.500 0.750
Zr 0.500 0.000 0.250
Zr 0.500 0.500 0.000
Bi 0.200 0.750 0.625
Bi 0.250 0.200 0.375
Bi 0.250 0.300 0.875
Bi 0.300 0.750 0.125
Bi 0.700 0.250 0.125
Bi 0.750 0.700 0.875
Bi 0.750 0.800 0.375
Bi 0.800 0.250 0.625

***

# 5
Here is a relaxed structure of BaZrBi from the Alexandria database. Energies are from PBE.

Its crystal system is tetragonal. Its formation energy is -497 meV/atom.

Cell lengths 4.610, 4.610, 10.015 Å; angles 90.00, 90.00, 90.00 degrees
Element x y z (fractional)
Ba 0.250 0.250 0.168
Ba 0.750 0.750 0.832
Zr 0.250 0.750 0.500
Zr 0.750 0.250 0.500
Bi 0.250 0.250 0.709
Bi 0.750 0.750 0.291

***

# 6
Here is a relaxed structure of BaZrBi2 from the Alexandria database. Energies are from PBE.

The calculation puts the energy above the lowest structure with this stoichiometry at 11.1 kJ per mole of atoms. Its crystal system is tetragonal. Its formation energy is -451 meV/atom.

Cell lengths 3.790, 3.790, 8.677 Å; angles 90.00, 90.00, 90.00 degrees
Element x y z (fractional)
Ba 0.000 0.000 0.000
Zr 0.000 0.000 0.500
Bi 0.500 0.500 0.296
Bi 0.500 0.500 0.704

***

# 7
Here is a relaxed structure of Ba2ZrBi from the Alexandria database. Energies are from PBE.

Its crystal system is tetragonal. Its formation energy is 299 meV/atom.

Cell lengths 9.743, 9.743, 6.510 Å; angles 90.00, 90.00, 90.00 degrees
Element x y z (fractional)
Ba 0.231 0.250 0.125
Ba 0.250 0.731 0.375
Ba 0.250 0.769 0.875
Ba 0.269 0.250 0.625
Ba 0.731 0.750 0.625
Ba 0.750 0.231 0.875
Ba 0.750 0.269 0.375
Ba 0.769 0.750 0.125
Zr 0.000 0.000 0.500
Zr 0.000 0.500 0.750
Zr 0.500 0.000 0.250
Zr 0.500 0.500 0.000
Bi 0.000 0.000 0.000
Bi 0.000 0.500 0.250
Bi 0.500 0.000 0.750
Bi 0.500 0.500 0.500

***

# 8
Here is a relaxed structure of BaZrBi2 from the Alexandria database. Energies are from PBE.

The calculation puts the energy above the lowest structure with this stoichiometry at 33.2 kJ per mole of atoms. Its crystal system is cubic. Its formation energy is -223 meV/atom.

Cell lengths 7.959, 7.959, 7.959 Å; angles 90.00, 90.00, 90.00 degrees
Element x y z (fractional)
Ba 0.000 0.000 0.000
Ba 0.000 0.500 0.500
Ba 0.500 0.000 0.500
Ba 0.500 0.500 0.000
Zr 0.000 0.000 0.500
Zr 0.000 0.500 0.000
Zr 0.500 0.000 0.000
Zr 0.500 0.500 0.500
Bi 0.250 0.250 0.250
Bi 0.250 0.250 0.750
Bi 0.250 0.750 0.250
Bi 0.250 0.750 0.750
Bi 0.750 0.250 0.250
Bi 0.750 0.250 0.750
Bi 0.750 0.750 0.250
Bi 0.750 0.750 0.750

***

| no. | calculated total energy (eV per atom) |
| --- | --- |
| 1 | -3.216 |
| 2 | -2.527 |
| 3 | -2.466 |
| 4 | -4.875 |
| 5 | -5.281 |
| 6 | -5.010 |
| 7 | -3.769 |
| 8 | -4.781 |